Ba2CuCl, relaxed, DFT PBE-GGA; ΔE_f (raw) = -0.776 eV/atom; crystal system = orthorhombic; total DFT energy (no corrections) = -0.237 Ry/atom; offset from the most stable computed form = 0.092 eV/atom; space-group type = Imm2 (44)
1.0
-3.496 -7.290 -3.491
2.221 -6.956 -4.923
1.353 5.620 6.644
Ba Cu Cl
2 1 1
direct
0.948 0.948 0.000
0.712 0.212 0.500
0.300 0.800 0.500
0.540 0.540 0.000